[1]
The following is a DFT calculation (PBE) of Nb2Se3 after structural relaxation.

Summary:
Fermi-level density of states	3.735	states/eV/cell
space-group type	P2_1/m, No. 11
mass density	6.8	Mg/m³
formation energy (no corrections)	-860	meV per atom

Cell: 3.441 6.645 9.278 Å, 76.06 90.00 90.00°
Fractional coordinates of all 10 atoms:
Nb  0.750  0.317  0.999
Se  0.750  0.522  0.204
Nb  0.250  0.886  0.636
Se  0.250  0.478  0.796
Nb  0.250  0.683  0.001
Se  0.750  0.729  0.485
Se  0.250  0.271  0.515
Se  0.250  0.026  0.157
Nb  0.750  0.114  0.364
Se  0.750  0.974  0.843

***

[2]
The following is a DFT calculation (PBE) of La4YHo3Se8 after structural relaxation.

Summary:
Fermi-level density of states	10.233	states/eV/cell
space-group type	R-3m, No. 166
mass density	7.1	Mg/m³
formation energy (no corrections)	-1872	meV per atom

Cell: 8.302 8.453 8.301 Å, 119.41 120.00 90.00°
Fractional coordinates of all 16 atoms:
Ho  0.500  0.500  0.500
Y  0.000  0.500  0.000
La  0.000  0.000  0.000
Se  0.743  0.729  0.486
Se  0.742  0.730  0.986
Se  0.258  0.270  0.014
Se  0.244  0.729  0.488
Ho  0.000  0.500  0.500
Se  0.756  0.271  0.512
Se  0.257  0.271  0.514
La  0.500  0.000  0.500
Se  0.756  0.270  0.014
La  0.500  0.000  0.000
Se  0.244  0.730  0.986
Ho  0.500  0.500  0.000
La  0.000  0.000  0.500

***

[3]
The following is a DFT calculation (PBE) of TiBePS2 after structural relaxation.

Summary:
Fermi-level density of states	4.048	states/eV/cell
space-group type	P4/mmm, No. 123
mass density	3.2	Mg/m³
energy relative to the lowest polymorph listed for this composition	0	meV/atom
formation energy (no corrections)	196	meV per atom

Cell: 4.336 4.336 4.166 Å, 90.00 90.00 90.00°
Fractional coordinates of all 5 atoms:
Be  0.000  0.000  0.000
P  0.000  0.000  0.500
S  0.000  0.500  0.000
Ti  0.500  0.500  0.500
S  0.500  0.000  0.000

***

[4]
The following is a DFT calculation (PBE) of Na3Ce2NiSe6 after structural relaxation.

Summary:
Fermi-level density of states	8.827	states/eV/cell
space-group type	C2/m, No. 12
mass density	4.8	Mg/m³
formation energy (no corrections)	-1221	meV per atom

Cell: 7.087 7.087 7.381 Å, 99.20 99.20 120.14°
Site moments in Bohr magnetons follow the coordinates.
Fractional coordinates of all 12 atoms:
Ce  0.667  0.333  0.000  0.50
Na  0.169  0.831  0.500  0.00
Se  0.766  0.766  0.220  0.04
Se  0.386  0.075  0.224  0.04
Na  0.500  0.500  0.500  0.00
Se  0.075  0.386  0.224  0.04
Se  0.925  0.614  0.776  0.04
Ni  0.000  0.000  0.000  1.14
Na  0.831  0.169  0.500  0.00
Se  0.234  0.234  0.780  0.04
Ce  0.333  0.667  0.000  0.50
Se  0.614  0.925  0.776  0.04

***

[5]
The following is a DFT calculation (PBE) of Mg2OsPb after structural relaxation.

Summary:
Fermi-level density of states	2.575	states/eV/cell
space-group type	Pmm2, No. 25
ΔH_f (0 K)	136	kJ/mol of formula units
mass density	9.6	Mg/m³

Cell: 4.809 3.063 5.238 Å, 90.00 90.00 90.00°
Site moments in Bohr magnetons follow the coordinates.
Fractional coordinates of all 4 atoms:
Os  0.000  0.625  0.450  0.75
Mg  0.000  0.125  0.978  -0.01
Pb  0.500  0.625  0.773  0.01
Mg  0.500  0.125  0.300  -0.01

***

[6]
The following is a DFT calculation (PBE) of Ga3Hg5Bi12 after structural relaxation.

Summary:
Fermi-level density of states	47.883	states/eV/cell
space-group type	Ia-3d, No. 230
ΔH_f (0 K)	365	kJ/mol of formula units
mass density	7.2	Mg/m³

Cell: 16.468 16.468 16.468 Å, 109.47 109.47 109.47°
Fractional coordinates of all 80 atoms:
Hg  0.125  0.750  0.375
Bi  0.342  0.911  0.773
Bi  0.411  0.773  0.842
Hg  0.500  0.000  0.500
Hg  0.875  0.625  0.750
Ga  0.375  0.625  0.250
Hg  0.625  0.875  0.250
Bi  0.862  0.931  0.273
Hg  0.000  0.500  0.000
Bi  0.431  0.158  0.570
Bi  0.227  0.638  0.069
Bi  0.638  0.227  0.569
Bi  0.138  0.069  0.727
Ga  0.625  0.250  0.375
Ga  0.750  0.375  0.125
Bi  0.727  0.569  0.138
Bi  0.569  0.842  0.430
Hg  0.000  0.000  0.500
Ga  0.625  0.375  0.750
Ga  0.250  0.625  0.875
Ga  0.875  0.125  0.250
Bi  0.158  0.727  0.589
Hg  0.000  0.500  0.500
Hg  0.625  0.750  0.875
Bi  0.911  0.570  0.138
Bi  0.089  0.658  0.727
Bi  0.570  0.911  0.638
Ga  0.125  0.875  0.750
Bi  0.930  0.862  0.589
Bi  0.431  0.273  0.362
Bi  0.273  0.842  0.911
Bi  0.362  0.773  0.431
Bi  0.273  0.431  0.862
Bi  0.362  0.589  0.430
Bi  0.911  0.342  0.273
Hg  0.875  0.250  0.625
Bi  0.227  0.589  0.658
Hg  0.250  0.375  0.625
Bi  0.070  0.138  0.411
Bi  0.842  0.273  0.411
Bi  0.930  0.069  0.842
Hg  0.125  0.375  0.250
Bi  0.589  0.362  0.930
Hg  0.375  0.125  0.750
Bi  0.158  0.431  0.070
Bi  0.727  0.158  0.089
Hg  0.750  0.625  0.375
Hg  0.250  0.875  0.125
Bi  0.138  0.070  0.911
Bi  0.411  0.638  0.070
Ga  0.750  0.875  0.625
Bi  0.589  0.227  0.158
Bi  0.569  0.727  0.638
Bi  0.658  0.570  0.931
Bi  0.070  0.931  0.158
Bi  0.069  0.138  0.227
Bi  0.638  0.411  0.570
Bi  0.773  0.411  0.342
Hg  0.500  0.500  0.000
Bi  0.430  0.089  0.362
Bi  0.773  0.362  0.931
Bi  0.342  0.430  0.069
Bi  0.862  0.930  0.089
Bi  0.931  0.070  0.658
Bi  0.658  0.089  0.227
Ga  0.875  0.750  0.125
Bi  0.069  0.930  0.342
Ga  0.125  0.250  0.875
Hg  0.000  0.000  0.000
Hg  0.750  0.125  0.875
Ga  0.250  0.125  0.375
Bi  0.089  0.430  0.862
Bi  0.842  0.569  0.930
Bi  0.430  0.342  0.569
Bi  0.570  0.658  0.431
Hg  0.500  0.000  0.000
Hg  0.500  0.500  0.500
Hg  0.375  0.250  0.125
Ga  0.375  0.750  0.625
Bi  0.931  0.862  0.773